1.
Entry from the Alexandria database: CsHPbF6 after structural relaxation (PBE).

Calculated values
For the final energy, the calculation gives -4.240 eV per atom. For the magnetization, the calculation gives 0.015 μB/atom.

Geometry as CIF:
```
data_CsHPbF6
_cell_length_a 4.430
_cell_length_b 5.452
_cell_length_c 7.288
_cell_angle_alpha 88.25
_cell_angle_beta 88.00
_cell_angle_gamma 68.09
_symmetry_space_group_name_H-M 'P 1'
_symmetry_Int_Tables_number 1
loop_
_symmetry_equiv_pos_as_xyz
'x,y,z'
loop_
_atom_site_label
_atom_site_type_symbol
_atom_site_fract_x
_atom_site_fract_y
_atom_site_fract_z
Cs1 Cs 0.000 0.000 0.000
H1 H 0.542 0.618 0.251
Pb1 Pb 0.381 0.294 0.544
F1 F 0.273 0.468 0.797
F2 F 0.282 0.653 0.398
F3 F 0.460 0.120 0.291
F4 F 0.550 0.943 0.694
F5 F 0.689 0.590 0.143
F6 F 0.886 0.289 0.550
```



2.
Entry from the Alexandria database: CsHPd2F after structural relaxation (PBE).

Calculated values
For the final energy, the calculation gives -2.326 eV per atom. For the magnetization, the calculation gives 0.000 μB/atom.

Geometry as CIF:
```
data_CsHPd2F
_cell_length_a 5.336
_cell_length_b 5.336
_cell_length_c 4.106
_cell_angle_alpha 90.00
_cell_angle_beta 90.00
_cell_angle_gamma 90.00
_symmetry_space_group_name_H-M 'P 4/m m m'
_symmetry_Int_Tables_number 123
_symmetry_space_group_name_Hall '-P 4 2'
loop_
_atom_site_label
_atom_site_type_symbol
_atom_site_fract_x
_atom_site_fract_y
_atom_site_fract_z
Cs1 Cs 0.000 0.000 0.000
H1 H 0.000 0.000 0.500
Pd1 Pd 0.000 0.500 0.000
F1 F 0.500 0.500 0.500
```



3.
Entry from the Alexandria database: Cs2H2PdF6 after structural relaxation (PBE).

Calculated values
For the final energy, the calculation gives -4.210 eV per atom. For the magnetization, the calculation gives 0.020 μB/atom.

Geometry as CIF:
```
data_Cs2H2PdF6
_cell_length_a 11.549
_cell_length_b 5.796
_cell_length_c 6.864
_cell_angle_alpha 90.00
_cell_angle_beta 118.92
_cell_angle_gamma 90.00
_symmetry_space_group_name_H-M 'C 1 2/m 1'
_symmetry_Int_Tables_number 12
loop_
_symmetry_equiv_pos_as_xyz
'x,y,z'
'-x,-y,-z'
'-x,y,-z'
'x,-y,z'
'x+1/2,y+1/2,z'
'-x+1/2,-y+1/2,-z'
'-x+1/2,y+1/2,-z'
'x+1/2,-y+1/2,z'
loop_
_atom_site_label
_atom_site_type_symbol
_atom_site_fract_x
_atom_site_fract_y
_atom_site_fract_z
Cs1 Cs 0.202 0.000 0.191
H1 H 0.052 0.500 0.276
Pd1 Pd 0.000 0.000 0.500
F1 F 0.055 0.241 0.738
F2 F 0.139 0.500 0.287
```



4.
Entry from the Alexandria database: CsH2PtF8 after structural relaxation (PBE).

Calculated values
For the final energy, the calculation gives -4.067 eV per atom. For the magnetization, the calculation gives 0.090 μB/atom.

Geometry as CIF:
```
data_CsH2PtF8
_cell_length_a 4.965
_cell_length_b 5.203
_cell_length_c 8.385
_cell_angle_alpha 79.77
_cell_angle_beta 79.69
_cell_angle_gamma 74.73
_symmetry_space_group_name_H-M 'P -1'
_symmetry_Int_Tables_number 2
loop_
_symmetry_equiv_pos_as_xyz
'x,y,z'
'-x,-y,-z'
loop_
_atom_site_label
_atom_site_type_symbol
_atom_site_fract_x
_atom_site_fract_y
_atom_site_fract_z
Cs1 Cs 0.000 0.000 0.000
H1 H 0.276 0.349 0.249
Pt1 Pt 0.000 0.000 0.500
F1 F 0.206 0.281 0.440
F2 F 0.232 0.822 0.667
F3 F 0.258 0.807 0.337
F4 F 0.298 0.376 0.130
```



5.
Entry from the Alexandria database: CsRbHF2 after structural relaxation (PBE).

Calculated values
For the final energy, the calculation gives -3.252 eV per atom. For the magnetization, the calculation gives 0.200 μB/atom.

Geometry as CIF:
```
data_CsRbHF2
_cell_length_a 5.281
_cell_length_b 5.281
_cell_length_c 4.760
_cell_angle_alpha 90.00
_cell_angle_beta 90.00
_cell_angle_gamma 90.00
_symmetry_space_group_name_H-M 'P 4/m m m'
_symmetry_Int_Tables_number 123
_symmetry_space_group_name_Hall '-P 4 2'
loop_
_atom_site_label
_atom_site_type_symbol
_atom_site_fract_x
_atom_site_fract_y
_atom_site_fract_z
Cs1 Cs 0.000 0.000 0.000
Rb1 Rb 0.500 0.500 0.500
H1 H 0.500 0.500 0.000
F1 F 0.000 0.500 0.500
```



6.
Entry from the Alexandria database: CsRbHF2 after structural relaxation (PBE).

Calculated values
For the final energy, the calculation gives -3.153 eV per atom. For the magnetization, the calculation gives 0.031 μB/atom.

Geometry as CIF:
```
data_CsRbHF2
_cell_length_a 5.111
_cell_length_b 5.111
_cell_length_c 3.932
_cell_angle_alpha 90.00
_cell_angle_beta 90.00
_cell_angle_gamma 90.00
_symmetry_space_group_name_H-M 'P 4/m m m'
_symmetry_Int_Tables_number 123
_symmetry_space_group_name_Hall '-P 4 2'
loop_
_atom_site_label
_atom_site_type_symbol
_atom_site_fract_x
_atom_site_fract_y
_atom_site_fract_z
Cs1 Cs 0.000 0.000 0.000
Rb1 Rb 0.500 0.500 0.000
H1 H 0.000 0.000 0.500
F1 F 0.000 0.500 0.500
```



Question: Which value of magnetization does entry 2 give?
Answer: 0.000 μB/atom